Arrangement w

IrRuW2 | GGA-PBE | optimized geometry

Cell and atoms, written as extended XYZ:
```
4
Lattice="4.4875 0.0000 0.0000 0.0000 2.7967 0.0012 0.0000 -0.0028 4.8166" Properties=species:S:1:pos:R:3 pbc="T T T"
Ir 0.0000 1.7466 2.1516
Ru 2.2438 1.7457 3.8858
W 2.2438 0.3480 1.4470
W 0.0000 0.3477 4.5588
```

Arrangement x

IrRuW2 | GGA-PBE | optimized geometry

Cell and atoms, written as extended XYZ:
```
4
Lattice="-0.5276 -2.6302 0.6872 1.6827 -0.8658 -2.0217 6.1348 0.0929 5.0662" Properties=species:S:1:pos:R:3 pbc="T T T"
Ru 5.1760 -1.6783 3.1303
Ir 3.0757 0.0466 2.5400
W 2.1782 -1.7237 0.6546
W 6.0621 0.0918 5.0062
```

Here is how they stack up, most stable first: arrangement w, arrangement x.